Entry 1:
A plane-wave DFT calculation with GGA-PBE was carried out for crystalline RbBaCeO4 at its relaxed geometry.

CIF file:
```
data_RbBaCeO4
_chemical_formula_sum 'Rb2 Ba2 Ce2 O8'
_symmetry_space_group_name_H-M 'I 4 m m'
_symmetry_Int_Tables_number 107
_symmetry_space_group_name_Hall 'I 4 -2'
_cell_length_a 4.490
_cell_length_b 4.490
_cell_length_c 13.638
_cell_angle_alpha 90.00
_cell_angle_beta 90.00
_cell_angle_gamma 90.00
loop_
_atom_site_label
_atom_site_type_symbol
_atom_site_fract_x
_atom_site_fract_y
_atom_site_fract_z
Rb1 Rb 0.000 0.000 0.000
Ba1 Ba 0.000 0.000 0.291
Ce1 Ce 0.000 0.000 0.644
O1 O 0.000 0.000 0.488
O2 O 0.000 0.000 0.802
O3 O 0.000 0.500 0.160
```

Values from the calculation:
The electronic total energy comes out at -6.53 eV per atom. The calculation puts the formation energy without anion corrections at -2438.1 meV per atom.

=====

Entry 2:
A plane-wave DFT calculation with GGA-PBE was carried out for crystalline RbBa2Ce3O8 at its relaxed geometry.

CIF file:
```
data_RbBa2Ce3O8
_chemical_formula_sum 'Rb3 Ba6 Ce9 O24'
_symmetry_space_group_name_H-M 'R 3 m'
_symmetry_Int_Tables_number 160
_symmetry_space_group_name_Hall 'R 3 -2"'
_cell_length_a 7.2903
_cell_length_b 7.2903
_cell_length_c 19.0580
_cell_angle_alpha 90.00
_cell_angle_beta 90.00
_cell_angle_gamma 120.00
loop_
_atom_site_label
_atom_site_type_symbol
_atom_site_fract_x
_atom_site_fract_y
_atom_site_fract_z
Rb1 Rb 0.0000 0.0000 0.0000
Ba1 Ba 0.0000 0.0000 0.2405
Ba2 Ba 0.0000 0.0000 0.6243
Ce1 Ce 0.1681 0.3362 0.4564
O1 O 0.0000 0.0000 0.3945
O2 O 0.0000 0.0000 0.8485
O3 O 0.0529 0.5264 0.3964
O4 O 0.1872 0.3745 0.1882
```

Values from the calculation:
The electronic total energy comes out at -7.41 eV per atom. The calculation puts the formation energy without anion corrections at -2959.9 meV per atom.

=====

Entry 3:
A plane-wave DFT calculation with GGA-PBE was carried out for crystalline Rb2BaCeO4 at its relaxed geometry.

CIF file:
```
data_Rb2BaCeO4
_chemical_formula_sum 'Rb2 Ba1 Ce1 O4'
_symmetry_space_group_name_H-M 'P 1 2/m 1'
_symmetry_Int_Tables_number 10
_cell_length_a 6.688
_cell_length_b 3.769
_cell_length_c 6.968
_cell_angle_alpha 90.00
_cell_angle_beta 109.65
_cell_angle_gamma 90.00
loop_
_symmetry_equiv_pos_as_xyz
'x,y,z'
'-x,-y,-z'
'-x,y,-z'
'x,-y,z'
loop_
_atom_site_label
_atom_site_type_symbol
_atom_site_fract_x
_atom_site_fract_y
_atom_site_fract_z
Rb1 Rb 0.000 0.000 0.000
Rb2 Rb 0.500 0.500 0.000
Ba1 Ba 0.000 0.500 0.500
Ce1 Ce 0.500 0.000 0.500
O1 O 0.286 0.000 0.680
O2 O 0.299 0.500 0.315
```

Values from the calculation:
The electronic total energy comes out at -6.09 eV per atom. The calculation puts the formation energy without anion corrections at -2382.2 meV per atom.

=====

Entry 4:
A plane-wave DFT calculation with GGA-PBE was carried out for crystalline Ba2CeReO6 at its relaxed geometry.

CIF file:
```
data_Ba2CeReO6
_chemical_formula_sum 'Ba8 Ce4 Re4 O24'
_symmetry_space_group_name_H-M 'F m -3 m'
_symmetry_Int_Tables_number 225
_symmetry_space_group_name_Hall '-F 4 2 3'
_cell_length_a 8.576
_cell_length_b 8.576
_cell_length_c 8.576
_cell_angle_alpha 90.00
_cell_angle_beta 90.00
_cell_angle_gamma 90.00
loop_
_atom_site_label
_atom_site_type_symbol
_atom_site_fract_x
_atom_site_fract_y
_atom_site_fract_z
Ba1 Ba 0.250 0.250 0.250
Ce1 Ce 0.000 0.000 0.000
Re1 Re 0.000 0.000 0.500
O1 O 0.000 0.000 0.265
```

Values from the calculation:
The electronic total energy comes out at -7.80 eV per atom. The calculation puts the formation energy without anion corrections at -2597.9 meV per atom.

=====

Look up the formation energy without anion corrections of the fourth one. -2597.9 meV per atom

=====

What is the formula in the fourth record? Ba2CeReO6

=====

The highest electronic total energy belongs to which entry? Rb2BaCeO4